This record from Alexandria describes CaSn2Pt2 after structural relaxation. The functional is PBE.

Cell lengths 4.571, 4.571, 11.052 Å; angles 90.00, 90.00, 90.00 degrees
Space group I4/mmm (No. 139)
Unique sites:
Ca 0.000 0.000 0.000 (multiplicity 2)
Sn 0.000 0.500 0.250 (multiplicity 4)
Pt 0.000 0.000 0.380 (multiplicity 4)

V: 230.9 Å³/cell
ΔH_f (0 K): -672 meV per atom
DOS(E_F): 4.8 states/eV/cell

***

This record from Alexandria describes Ca3Sn4Pt2 after structural relaxation. The functional is PBE.

Cell lengths 11.032, 4.821, 9.084 Å; angles 90.00, 108.17, 90.00 degrees
Space group C2/m (No. 12)
Unique sites:
Ca 0.000 0.000 0.000 (multiplicity 2)
Ca 0.127 0.500 0.685 (multiplicity 4)
Sn 0.108 0.000 0.421 (multiplicity 4)
Sn 0.214 0.500 0.069 (multiplicity 4)
Pt 0.159 0.500 0.331 (multiplicity 4)

V: 459.0 Å³/cell
ΔH_f (0 K): -740 meV per atom
DOS(E_F): 7.5 states/eV/cell

***

This record from Alexandria describes Ca2Sn5Pt3 after structural relaxation. The functional is PBE.

Cell lengths 4.518, 26.829, 7.429 Å; angles 90.00, 90.00, 90.00 degrees
Space group Cmc2_1 (No. 36)
Unique sites:
Ca 0.000 0.023 0.000 (multiplicity 4)
Ca 0.000 0.328 0.965 (multiplicity 4)
Sn 0.000 0.097 0.625 (multiplicity 4)
Sn 0.000 0.205 0.175 (multiplicity 4)
Sn 0.000 0.208 0.749 (multiplicity 4)
Sn 0.000 0.381 0.503 (multiplicity 4)
Sn 0.000 0.452 0.835 (multiplicity 4)
Pt 0.000 0.107 0.256 (multiplicity 4)
Pt 0.000 0.277 0.461 (multiplicity 4)
Pt 0.000 0.450 0.215 (multiplicity 4)

V: 900.6 Å³/cell
ΔH_f (0 K): -740 meV per atom
DOS(E_F): 10.7 states/eV/cell

***

This record from Alexandria describes Ca2Sn3Pt2 after structural relaxation. The functional is PBE.

Cell lengths 4.471, 19.590, 7.651 Å; angles 90.00, 90.00, 90.00 degrees
Space group Cmcm (No. 63)
Unique sites:
Ca 0.000 0.055 0.250 (multiplicity 4)
Ca 0.000 0.163 0.750 (multiplicity 4)
Sn 0.000 0.222 0.250 (multiplicity 4)
Sn 0.000 0.432 0.064 (multiplicity 8)
Pt 0.000 0.302 0.548 (multiplicity 8)

E above lowest polymorph: 63 meV per atom
V: 670.1 Å³/cell
ΔH_f (0 K): -664 meV per atom
DOS(E_F): 11.7 states/eV/cell

***

This record from Alexandria describes CaSnPt3 after structural relaxation. The functional is PBE.

Cell lengths 5.013, 5.013, 5.013 Å; angles 90.00, 90.00, 90.00 degrees
Space group Pm-3m (No. 221)
Unique sites:
Ca 0.000 0.000 0.000 (multiplicity 1)
Sn 0.500 0.500 0.500 (multiplicity 1)
Pt 0.000 0.000 0.500 (multiplicity 3)

E above lowest polymorph: 898 meV per atom
V: 126.0 Å³/cell
ΔH_f (0 K): 908 meV per atom
DOS(E_F): 3.3 states/eV/cell

***

This record from Alexandria describes Ca2Sn3Pt4 after structural relaxation. The functional is PBE.

Cell lengths 6.062, 16.544, 7.542 Å; angles 90.00, 90.00, 90.00 degrees
Space group Cmce (No. 64)
Unique sites:
Ca 0.000 0.096 0.095 (multiplicity 8)
Sn 0.000 0.000 0.500 (multiplicity 4)
Sn 0.250 0.240 0.750 (multiplicity 8)
Pt 0.000 0.169 0.478 (multiplicity 8)
Pt 0.250 0.072 0.750 (multiplicity 8)

V: 756.5 Å³/cell
ΔH_f (0 K): -783 meV per atom
DOS(E_F): 16.6 states/eV/cell

***

Number 1: uncorrected energy -5.09 eV/atom. Number 2: uncorrected energy -4.53 eV/atom. Number 3: uncorrected energy -4.95 eV/atom. Number 4: uncorrected energy -4.68 eV/atom. Number 5: uncorrected energy -3.92 eV/atom. Number 6: uncorrected energy -5.25 eV/atom.